{
  "formula": "Pr3Hg5O12",
  "functional": "PBE",
  "state": "relaxed",
  "rho_g_cm3": 8.44,
  "total_energy_ev_per_cell": -396.42,
  "dos_ef_per_ev_cell": 39.03,
  "cell": [[-6.826, 6.826, 6.826], [6.826, -6.826, 6.826], [6.826, 6.826, -6.826]],
  "species": ["Pr", "Pr", "Pr", "Pr", "Pr", "Pr", "Pr", "Pr", "Pr", "Pr", "Pr", "Pr", "Hg", "Hg", "Hg", "Hg", "Hg", "Hg", "Hg", "Hg", "Hg", "Hg", "Hg", "Hg", "Hg", "Hg", "Hg", "Hg", "Hg", "Hg", "Hg", "Hg", "O", "O", "O", "O", "O", "O", "O", "O", "O", "O", "O", "O", "O", "O", "O", "O", "O", "O", "O", "O", "O", "O", "O", "O", "O", "O", "O", "O", "O", "O", "O", "O", "O", "O", "O", "O", "O", "O", "O", "O", "O", "O", "O", "O", "O", "O", "O", "O"],
  "fractional_positions": [[0.125, 0.250, 0.375], [0.125, 0.375, 0.750], [0.250, 0.375, 0.125], [0.250, 0.875, 0.625], [0.375, 0.125, 0.250], [0.375, 0.750, 0.125], [0.625, 0.250, 0.875], [0.625, 0.875, 0.750], [0.750, 0.125, 0.375], [0.750, 0.625, 0.875], [0.875, 0.625, 0.250], [0.875, 0.750, 0.625], [0.000, 0.000, 0.000], [0.000, 0.000, 0.500], [0.000, 0.500, 0.000], [0.000, 0.500, 0.500], [0.125, 0.750, 0.875], [0.125, 0.875, 0.250], [0.250, 0.125, 0.875], [0.250, 0.625, 0.375], [0.375, 0.250, 0.625], [0.375, 0.625, 0.750], [0.500, 0.000, 0.000], [0.500, 0.000, 0.500], [0.500, 0.500, 0.000], [0.500, 0.500, 0.500], [0.625, 0.375, 0.250], [0.625, 0.750, 0.375], [0.750, 0.375, 0.625], [0.750, 0.875, 0.125], [0.875, 0.125, 0.750], [0.875, 0.250, 0.125], [0.051, 0.216, 0.136], [0.051, 0.335, 0.915], [0.080, 0.716, 0.665], [0.080, 0.864, 0.415], [0.085, 0.636, 0.420], [0.085, 0.949, 0.665], [0.136, 0.051, 0.216], [0.136, 0.585, 0.920], [0.165, 0.216, 0.580], [0.165, 0.449, 0.585], [0.216, 0.136, 0.051], [0.216, 0.580, 0.165], [0.284, 0.335, 0.920], [0.284, 0.449, 0.364], [0.335, 0.915, 0.051], [0.335, 0.920, 0.284], [0.364, 0.284, 0.449], [0.364, 0.580, 0.915], [0.415, 0.080, 0.864], [0.415, 0.835, 0.551], [0.420, 0.085, 0.636], [0.420, 0.835, 0.784], [0.449, 0.364, 0.284], [0.449, 0.585, 0.165], [0.551, 0.415, 0.835], [0.551, 0.636, 0.716], [0.580, 0.165, 0.216], [0.580, 0.915, 0.364], [0.585, 0.165, 0.449], [0.585, 0.920, 0.136], [0.636, 0.420, 0.085], [0.636, 0.716, 0.551], [0.665, 0.080, 0.716], [0.665, 0.085, 0.949], [0.716, 0.551, 0.636], [0.716, 0.665, 0.080], [0.784, 0.420, 0.835], [0.784, 0.864, 0.949], [0.835, 0.551, 0.415], [0.835, 0.784, 0.420], [0.864, 0.415, 0.080], [0.864, 0.949, 0.784], [0.915, 0.051, 0.335], [0.915, 0.364, 0.580], [0.920, 0.136, 0.585], [0.920, 0.284, 0.335], [0.949, 0.665, 0.085], [0.949, 0.784, 0.864]]
}